No. 1
An optimized crystal structure of Th3Ir8Pb. Source: the Alexandria database, functional PBE-GGA.

Geometry as POSCAR:
```
Th3Ir8Pb
1.0
-4.884 1.714 1.726
-4.497 -1.312 -2.798
-3.999 -7.238 4.498
Th Ir Pb
3 8 1
Direct
0.377 0.377 0.869
0.994 0.994 0.017
0.505 0.505 0.486
0.943 0.437 0.183
0.435 0.938 0.690
0.437 0.437 0.183
0.938 0.938 0.690
0.188 0.188 0.435
0.688 0.688 0.936
0.437 0.943 0.183
0.938 0.435 0.690
0.870 0.870 0.389
```

- theoretical density (Mg/m³) = 17.72
- E (eV/atom) = -8.69
- space-group type = No. 160
- M_tot (μB/cell) = 0.0

=====

No. 2
An optimized crystal structure of Ca3La3YS8. Source: the Alexandria database, functional PBE-GGA.

Geometry as POSCAR:
```
Ca3La3YS8
1.0
8.197 0.000 0.000
-4.099 7.099 -0.024
0.000 -4.710 6.651
Ca La Y S
3 3 1 8
Direct
0.000 0.000 0.000
0.000 0.500 0.000
0.500 0.500 0.000
0.500 0.000 0.500
0.500 0.500 0.500
0.000 0.500 0.500
0.000 0.000 0.500
0.247 0.493 0.240
0.753 0.507 0.760
0.760 0.521 0.257
0.240 0.479 0.743
0.761 0.996 0.257
0.239 0.004 0.743
0.236 0.996 0.257
0.764 0.004 0.743
```

- theoretical density (Mg/m³) = 3.79
- E (eV/atom) = -6.14
- space-group type = No. 166
- energy relative to the elements, uncorrected (eV/f.u.) = -31.8
- M_tot (μB/cell) = 0.0

=====

No. 3
An optimized crystal structure of NiPd5Au2. Source: the Alexandria database, functional PBE-GGA.

Geometry as POSCAR:
```
NiPd5Au2
1.0
3.897 0.000 0.000
0.000 5.673 0.000
0.000 0.000 11.325
Ni Pd Au
2 10 4
Direct
0.000 0.000 0.500
0.000 0.500 0.000
0.000 0.000 0.000
0.000 0.500 0.500
0.000 0.494 0.753
0.000 0.506 0.247
0.000 0.006 0.253
0.000 0.994 0.747
0.500 0.250 0.877
0.500 0.750 0.123
0.500 0.250 0.377
0.500 0.750 0.623
0.500 0.242 0.623
0.500 0.758 0.377
0.500 0.258 0.123
0.500 0.742 0.877
```

- theoretical density (Mg/m³) = 13.06
- E (eV/atom) = -4.79
- space-group type = No. 55
- M_tot (μB/cell) = 3.6

=====

No. 4
An optimized crystal structure of Ba2LaF8. Source: the Alexandria database, functional PBE-GGA.

Geometry as POSCAR:
```
Ba2LaF8
1.0
4.382 0.000 0.000
0.000 6.127 -0.159
-2.191 -2.812 6.970
Ba La F
2 1 8
Direct
0.831 0.319 0.662
0.169 0.681 0.338
0.500 0.000 0.000
0.394 0.591 0.787
0.649 0.948 0.298
0.782 0.703 0.563
0.990 0.206 0.980
0.218 0.297 0.437
0.351 0.052 0.702
0.606 0.409 0.213
0.010 0.794 0.020
```

- theoretical density (Mg/m³) = 5.07
- E (eV/atom) = -5.76
- space-group type = No. 12
- energy relative to the elements, uncorrected (eV/f.u.) = -39.6
- ΔE to the lowest computed polymorph (meV per atom) = 0.0
- M_tot (μB/cell) = 1.1

=====

No. 5
An optimized crystal structure of Ba2Ag5Ge3. Source: the Alexandria database, functional PBE-GGA.

Geometry as POSCAR:
```
Ba2Ag5Ge3
1.0
4.760 0.000 0.000
0.000 4.760 0.000
0.000 0.000 10.902
Ba Ag Ge
2 5 3
Direct
0.500 0.000 0.257
0.000 0.500 0.743
0.500 0.500 0.000
0.000 0.000 0.000
0.500 0.000 0.863
0.000 0.500 0.137
0.500 0.500 0.500
0.500 0.000 0.624
0.000 0.500 0.376
0.000 0.000 0.500
```

- theoretical density (Mg/m³) = 6.94
- E (eV/atom) = -3.42
- space-group type = No. 115
- M_tot (μB/cell) = 0.0

=====

No. 6
An optimized crystal structure of TaCr2Co. Source: the Alexandria database, functional PBE-GGA.

Geometry as POSCAR:
```
TaCr2Co
1.0
-3.853 0.579 0.456
0.028 -1.512 2.160
0.962 3.404 3.805
Co Cr Ta
1 2 1
Direct
0.500 0.798 0.767
0.000 0.018 0.017
0.500 0.198 0.209
0.000 0.486 0.507
```

- theoretical density (Mg/m³) = 10.91
- E (eV/atom) = -9.43
- space-group type = No. 6
- ΔE to the lowest computed polymorph (meV per atom) = 114.5
- M_tot (μB/cell) = 0.0

=====

No. 7
An optimized crystal structure of TaNi2Pt6. Source: the Alexandria database, functional PBE-GGA.

Geometry as POSCAR:
```
TaNi2Pt6
1.0
-3.251 0.227 -2.135
0.446 -1.751 -4.420
-2.985 -7.738 0.167
Ta Ni Pt
1 2 6
Direct
0.000 0.500 0.500
0.337 0.606 0.720
0.663 0.394 0.280
0.667 0.720 0.946
0.333 0.280 0.054
0.000 0.823 0.177
0.335 0.939 0.392
0.000 0.177 0.823
0.665 0.061 0.608
```

- theoretical density (Mg/m³) = 18.25
- E (eV/atom) = -7.00
- space-group type = No. 12
- M_tot (μB/cell) = 0.0

=====

No. 8
An optimized crystal structure of K2Ag2IO6. Source: the Alexandria database, functional PBE-GGA.

Geometry as POSCAR:
```
K2Ag2IO6
1.0
-3.061 -0.688 -4.838
-0.739 -4.331 3.734
-3.019 5.114 2.991
K Ag I O
2 2 1 6
Direct
0.810 0.190 0.000
0.190 0.810 0.000
0.338 0.662 0.500
0.662 0.338 0.500
0.000 0.000 0.500
0.797 0.797 0.655
0.041 0.324 0.697
0.203 0.203 0.345
0.324 0.041 0.697
0.959 0.676 0.303
0.676 0.959 0.303
```

- theoretical density (Mg/m³) = 4.62
- E (eV/atom) = -4.24
- space-group type = No. 12
- energy relative to the elements, uncorrected (eV/f.u.) = -7.5
- M_tot (μB/cell) = 0.9

=====

No. 9
An optimized crystal structure of Dy4RhSe2. Source: the Alexandria database, functional PBE-GGA.

Geometry as POSCAR:
```
Dy4RhSe2
1.0
-2.925 1.073 -2.237
-2.302 -5.231 3.791
-4.276 9.096 9.955
Dy Rh Se
8 2 4
Direct
0.206 0.411 0.629
0.794 0.589 0.371
0.794 0.589 0.129
0.206 0.411 0.871
0.952 0.905 0.750
0.048 0.095 0.250
0.500 0.000 0.000
0.500 0.000 0.500
0.395 0.789 0.250
0.605 0.211 0.750
0.858 0.716 0.934
0.142 0.284 0.066
0.858 0.716 0.566
0.142 0.284 0.434
```

- theoretical density (Mg/m³) = 8.47
- E (eV/atom) = -5.91
- space-group type = No. 63
- energy relative to the elements, uncorrected (eV/f.u.) = -8.7
- M_tot (μB/cell) = 0.0

=====

No. 10
An optimized crystal structure of CrReOs4. Source: the Alexandria database, functional PBE-GGA.

Geometry as POSCAR:
```
CrReOs4
1.0
-3.095 -2.230 3.352
-1.339 2.451 4.242
-4.759 1.678 0.568
Cr Re Os
1 1 4
Direct
0.000 0.000 0.000
0.750 0.750 0.750
0.876 0.375 0.375
0.375 0.375 0.876
0.375 0.876 0.375
0.375 0.375 0.375
```

- theoretical density (Mg/m³) = 17.91
- E (eV/atom) = -10.49
- space-group type = No. 216
- M_tot (μB/cell) = 2.2

=====

No. 11
An optimized crystal structure of GaSi2Ni2. Source: the Alexandria database, functional PBE-GGA.

Geometry as POSCAR:
```
GaSi2Ni2
1.0
4.079 0.152 -0.127
2.152 3.469 -0.127
-0.099 -0.057 4.793
Ga Si Ni
1 2 2
Direct
0.500 0.000 0.000
0.853 0.353 0.658
0.147 0.647 0.342
0.811 0.311 0.185
0.189 0.689 0.815
```

- theoretical density (Mg/m³) = 6.10
- E (eV/atom) = -5.39
- space-group type = No. 12
- energy relative to the elements, uncorrected (eV/f.u.) = -1.5
- M_tot (μB/cell) = 0.0

=====

No. 12
An optimized crystal structure of CsNa2TcCl8. Source: the Alexandria database, functional PBE-GGA.

Geometry as POSCAR:
```
CsNa2TcCl8
1.0
6.501 -0.135 0.001
-0.124 5.854 0.012
0.013 0.036 9.403
Cs Na Tc Cl
1 2 1 8
Direct
0.000 0.000 0.500
0.500 0.499 0.770
0.500 0.501 0.230
0.000 0.000 0.000
0.139 0.768 0.179
0.692 0.765 0.999
0.857 0.229 0.178
0.861 0.232 0.821
0.308 0.235 0.001
0.143 0.771 0.822
0.503 0.746 0.500
0.497 0.254 0.500
```

- theoretical density (Mg/m³) = 2.60
- E (eV/atom) = -3.57
- space-group type = No. 2
- energy relative to the elements, uncorrected (eV/f.u.) = -14.2
- M_tot (μB/cell) = 3.2

=====

Q: The highest M_tot belongs to which entry?
A: NiPd5Au2